VASP calculation (PBE) on a geometry-optimized Na5B6C4 structure.

Cell lengths 7.6025, 7.6025, 10.2656 Å; angles 122.04, 122.04, 37.73 degrees
Closest atoms and distances in Å follow each position.
Sites, in units of the cell vectors:
Na  0.9997  0.9997  0.2484  5 C 2.66-2.71, 7 B 2.67-2.73, 6 Na 2.84-2.89
Na  0.0003  0.0003  0.7516  5 C 2.66-2.71, 7 B 2.67-2.73, 6 Na 2.84-2.89
Na  0.1980  0.1996  0.2470  8 B 2.63-2.81, 4 C 2.67-2.76, 6 Na 2.84-2.88
Na  0.2012  0.2012  0.7522  5 C 2.67-2.72, 7 B 2.67-2.73, 6 Na 2.84-2.89
Na  0.3991  0.3986  0.2473  6 C 2.66-2.69, 6 B 2.66-2.71, 6 Na 2.85-2.88
Na  0.4002  0.4018  0.7526  8 B 2.63-2.81, 4 C 2.66-2.76, 6 Na 2.84-2.88
Na  0.5982  0.5998  0.2474  8 B 2.63-2.81, 4 C 2.66-2.76, 6 Na 2.84-2.88
Na  0.6014  0.6009  0.7527  6 C 2.66-2.69, 6 B 2.66-2.71, 6 Na 2.85-2.88
Na  0.7988  0.7988  0.2478  5 C 2.67-2.72, 7 B 2.67-2.73, 6 Na 2.84-2.89
Na  0.8004  0.8020  0.7530  8 B 2.63-2.81, 4 C 2.67-2.76, 6 Na 2.84-2.88
B  0.0211  0.3814  0.5002  3 B 1.65-1.83
B  0.0337  0.3658  0.9995  3 C 1.64-1.66
B  0.1626  0.8374  0.5000  3 C 1.59-1.64
B  0.2345  0.5664  0.0009  3 C 1.64-1.66
B  0.3842  0.0016  0.5002  1 C 1.56, 1 B 1.65
B  0.4336  0.7655  0.9991  3 C 1.64-1.66
B  0.5696  0.2411  0.4998  2 C 1.58-1.65, 1 B 1.71
B  0.6186  0.9789  0.4998  3 B 1.65-1.83
B  0.6342  0.9663  0.0005  3 C 1.64-1.66
B  0.7589  0.4304  0.5002  2 C 1.58-1.65, 1 B 1.71
B  0.8343  0.1657  0.0000  3 C 1.64-1.66
B  0.9984  0.6158  0.4998  1 C 1.56, 1 B 1.65
C  0.1675  0.8325  0.0000  3 B 1.64-1.65
C  0.2329  0.5763  0.4997  3 B 1.56-1.65
C  0.3672  0.0321  0.9991  3 B 1.64-1.66
C  0.4237  0.7671  0.5003  3 B 1.56-1.65
C  0.5681  0.2329  0.0012  3 B 1.64-1.66
C  0.7671  0.4319  0.9988  3 B 1.64-1.66
C  0.8289  0.1711  0.5000  3 B 1.58-1.64
C  0.9679  0.6328  0.0009  3 B 1.64-1.66

Output
The value obtained for the energy above the most stable polymorph in this dataset is 0.295 eV/f.u. The symmetry is C2, No. 5. Its formation enthalpy at 0 K is 72 meV per atom.



VASP calculation (PBE) on a geometry-optimized Na5B8C2 structure.

Cell lengths 13.3111, 13.3111, 8.6609 Å; angles 90.00, 90.00, 167.87 degrees
Closest atoms and distances in Å follow each position.
Sites, in units of the cell vectors:
Na  0.0000  0.0000  0.0000  10 B 2.68-2.85, 6 Na 2.81-3.00, 2 C 2.83
Na  0.0000  0.0000  0.5000  10 B 2.68-2.85, 6 Na 2.81-3.00, 2 C 2.83
Na  0.2005  0.7995  0.5041  9 B 2.69-2.85, 3 C 2.75-2.76, 6 Na 2.81-3.00
Na  0.2005  0.7995  0.9959  9 B 2.69-2.85, 3 C 2.75-2.76, 6 Na 2.81-3.00
Na  0.3998  0.6002  0.0010  10 B 2.68-2.95, 2 C 2.70, 6 Na 2.81-3.00
Na  0.3998  0.6002  0.4990  10 B 2.68-2.95, 2 C 2.70, 6 Na 2.81-3.00
Na  0.6002  0.3998  0.5010  10 B 2.68-2.95, 2 C 2.70, 6 Na 2.81-3.00
Na  0.6002  0.3998  0.9990  10 B 2.68-2.95, 2 C 2.70, 6 Na 2.81-3.00
Na  0.7995  0.2005  0.0041  9 B 2.69-2.85, 3 C 2.75-2.76, 6 Na 2.81-3.00
Na  0.7995  0.2005  0.4959  9 B 2.69-2.85, 3 C 2.75-2.76, 6 Na 2.81-3.00
B  0.0700  0.9300  0.2500  3 B 1.67-1.80
B  0.1288  0.8712  0.7500  1 C 1.59, 2 B 1.76
B  0.1330  0.8670  0.2500  3 B 1.67-1.80
B  0.2653  0.7347  0.2500  2 C 1.63, 1 B 1.75
B  0.3245  0.6755  0.7500  1 C 1.55
B  0.3312  0.6688  0.2500  3 B 1.75-1.76
B  0.4618  0.5382  0.2500  2 C 1.62, 1 B 1.75
B  0.4722  0.5278  0.7500  3 B 1.75-1.80
B  0.5278  0.4722  0.2500  3 B 1.75-1.80
B  0.5382  0.4618  0.7500  2 C 1.62, 1 B 1.75
B  0.6688  0.3312  0.7500  3 B 1.75-1.76
B  0.6755  0.3245  0.2500  1 C 1.55
B  0.7347  0.2653  0.7500  2 C 1.63, 1 B 1.75
B  0.8670  0.1330  0.7500  3 B 1.67-1.80
B  0.8712  0.1288  0.2500  1 C 1.59, 2 B 1.76
B  0.9300  0.0700  0.7500  3 B 1.67-1.80
C  0.0689  0.9311  0.7500  3 B 1.59-1.62
C  0.2661  0.7339  0.7500  3 B 1.55-1.63
C  0.7339  0.2661  0.2500  3 B 1.55-1.63
C  0.9311  0.0689  0.2500  3 B 1.59-1.62

Output
The value obtained for the energy above the most stable polymorph in this dataset is 0.204 eV/f.u. The symmetry is Cmcm, No. 63. Its formation enthalpy at 0 K is 184 meV per atom.



VASP calculation (PBE) on a geometry-optimized NaBC3 structure.

Cell lengths 4.4000, 4.4000, 4.4000 Å; angles 90.00, 90.00, 90.00 degrees
Closest atoms and distances in Å follow each position.
Sites, in units of the cell vectors:
Na  0.0000  0.0000  0.0000  6 C 2.20
B  0.5000  0.5000  0.5000  12 C 3.11
C  0.0000  0.0000  0.5000  2 Na 2.20
C  0.0000  0.5000  0.0000  2 Na 2.20
C  0.5000  0.0000  0.0000  2 Na 2.20

Output
The value obtained for the energy above the most stable polymorph in this dataset is 11.833 eV/f.u. The symmetry is Pm-3m, No. 221. Its formation enthalpy at 0 K is 4634 meV per atom.